The following is a DFT calculation (PBE+U) of a relaxed structure of Ca2MoF.

Cell lengths 5.426, 5.426, 5.426 Å; angles 60.00, 60.00, 60.00 degrees
Fractional coordinates of all 4 atoms:
F  0.000  0.000  0.000
Ca  0.250  0.250  0.250
Ca  0.750  0.750  0.750
Mo  0.500  0.500  0.500

Calculated values
For the energy above the lowest structure with this stoichiometry, the calculation gives 237 kJ/mol of formula units. The symmetry is Fm-3m. The value obtained for the volume is 28.2 Å³ per atom. The total energy is -13.8 eV per cell.